# ScOs2Au

A relaxed ScOs2Au crystal (PBE, Alexandria via LeMat-Bulk). Values from VASP.

Summary:
ΔE_f, eV per formula unit: 1.46
Energy above the lowest structure with this stoichiometry, meV/atom: 462

```
&SYSTEM
  ibrav = 0, nat = 4, ntyp = 3
/
ATOMIC_SPECIES
Os 190.23 Os.upf
Sc 44.96 Sc.upf
Au 196.97 Au.upf
CELL_PARAMETERS angstrom
-0.908 -2.630 -0.209
1.731 -0.427 -2.146
6.023 -2.505 5.355
ATOMIC_POSITIONS crystal
Os 0.000 0.000 0.501
Os 0.000 0.000 0.999
Sc 0.500 0.500 0.250
Au 0.500 0.500 0.750
```